FeReN2F | GGA+U | optimized geometry

```
5
Lattice="3.9049 0.0000 0.0000 0.0000 3.9049 0.0000 0.0000 0.0000 4.1030" Properties=species:S:1:pos:R:3 pbc="T T T"
N 0.0000 1.9524 0.0000
Re 0.0000 0.0000 0.0000
Fe 1.9524 1.9524 2.0515
F 0.0000 0.0000 2.0515
N 1.9524 0.0000 0.0000
```

For the mass density, the calculation gives 7.7 g/cm³. For the density of states at the Fermi level, the calculation gives 0.392 states/eV per atom. Its symmetry is P4/mmm, No. 123. As for the total energy: -7.171 eV per atom.